4
Lattice="2.070 3.687 3.220 -2.564 1.390 4.443 1.947 -1.404 4.741" Properties=species:S:1:pos:R:3 comment="BaY2Pt PBE relaxed" polymorph_energy_mev_per_atom=409 delta_e_f_ev_per_atom=-0.13 final_energy_ev_per_atom=-5.3518 pbc="T T T"
Pt 0.727 1.836 6.202
Y 0.363 0.918 3.101
Y 1.090 2.754 9.303
Ba 0.000 0.000 0.000



3
Lattice="-2.418 -4.141 -0.708 0.005 -3.242 3.604 -1.144 4.552 -1.211" Properties=species:S:1:pos:R:3 comment="SbOs2 PBE relaxed" raw_formation_energy_ev_per_fu=2.3 final_energy_ev_per_atom=-8.0883 pbc="T T T"
Os -1.644 -5.029 1.972
Os -0.769 -2.354 0.923
Sb 0.000 0.000 0.000



6
Lattice="-1.181 -0.355 3.936 3.886 -0.851 1.090 0.930 5.206 0.749" Properties=species:S:1:pos:R:3 comment="PrBe2BRu2 PBE relaxed" delta_e_f_ev_per_atom=-0.36 final_energy_ev_per_atom=-6.6071 pbc="T T T"
Ru 1.943 -0.425 0.545
Ru -0.591 -0.178 1.968
Be 1.552 0.515 2.674
Be 2.082 3.484 3.101
B 0.000 0.000 0.000
Pr 0.465 2.603 0.375



4
Lattice="3.448 0.000 0.000 1.724 2.986 0.000 1.724 0.995 12.800" Properties=species:S:1:pos:R:3 comment="LiLaTh2 PBE relaxed" polymorph_energy_mev_per_atom=103 delta_e_f_ev_per_atom=0.29 final_energy_ev_per_atom=-5.1315 pbc="T T T"
Th 5.173 2.986 3.312
Th 1.724 0.995 9.488
Li 0.000 0.000 0.000
La 3.448 1.991 6.400



> What is the formula in the first record?

BaY2Pt